1.
Entry from OQMD via LeMat-Bulk: a relaxed BaZnSeO crystal (PBE).

Values from the calculation:
For the final energy, the calculation gives -4.632 eV per atom.

Lattice parameters (Å, degrees): 6.2194 8.1869 13.3961 90.00 90.00 90.00
With the nearest neighbours (Å) after each atom.
Space group Pbca (No. 61)
One atom of each set of equivalent atoms:
Ba 0.2497 0.1241 0.1476  4 O 2.88-2.95
Zn 0.2472 0.1258 0.8447  2 O 2.01
Se 0.2497 0.1243 0.4453  2 Zn 2.45
O 0.0054 0.6265 0.7484  2 Zn 2.01

=====

2.
Entry from OQMD via LeMat-Bulk: a relaxed BaZnSeO crystal (PBE).

Values from the calculation:
For the final energy, the calculation gives -4.548 eV per atom.

Lattice parameters (Å, degrees): 7.0240 7.0431 7.6148 90.00 90.00 90.00
With the nearest neighbours (Å) after each atom.
Space group P2_12_12_1 (No. 19)
One atom of each set of equivalent atoms:
Ba 0.1139 0.0757 0.3754  3 O 2.60-2.66
Zn 0.1349 0.3379 0.7508  1 O 1.88
Se 0.1212 0.6519 0.6181  2 Zn 2.43-2.44
O 0.1737 0.8074 0.1436  1 Zn 1.88

=====

3.
Entry from OQMD via LeMat-Bulk: a relaxed BaZnSeO crystal (PBE).

Values from the calculation:
For the final energy, the calculation gives -4.445 eV per atom.

Lattice parameters (Å, degrees): 6.7487 7.8360 8.2575 90.00 90.00 90.00
With the nearest neighbours (Å) after each atom.
Space group P2_12_12_1 (No. 19)
One atom of each set of equivalent atoms:
Ba 0.0526 0.2197 0.3482  2 O 2.45-2.48
Zn 0.0428 0.1196 0.9462  1 O 1.85
Se 0.1961 0.3956 0.9611  2 Zn 2.40-2.47
O 0.1555 0.9065 0.9784  1 Zn 1.85

=====

4.
Entry from OQMD via LeMat-Bulk: a relaxed BaZnSeO crystal (PBE).

Values from the calculation:
For the final energy, the calculation gives -4.210 eV per atom.

Lattice parameters (Å, degrees): 3.6226 13.2324 7.4877 90.00 90.00 90.00
With the nearest neighbours (Å) after each atom.
Space group Cmc2_1 (No. 36)
One atom of each set of equivalent atoms:
Ba 0.0000 0.0666 0.0000  2 O 2.49-2.52
Zn 0.0000 0.3275 0.1209  2 O 2.11
Se 0.0000 0.3171 0.7862  1 Zn 2.51
O 0.0000 0.0956 0.6678  2 Zn 2.11